The following is a DFT calculation (PBE-GGA) of a relaxed structure of MgMnIN2.

relative energy among the computed polymorphs = 0.000 eV per atom
E_form (uncorrected) = 627 meV per atom

Cell lengths 3.7840, 3.7840, 5.4981 Å; angles 90.00, 90.00, 90.00 degrees
Closest atoms and distances in Å follow each position.
Element x y z (fractional)
Mn 0.0000 0.0000 0.0000  4 N 1.89
N 0.5000 0.0000 0.0000  2 Mn 1.89
N 0.0000 0.5000 0.0000  2 Mn 1.89
I 0.0000 0.0000 0.5000  4 Mg 2.68, 2 Mn 2.75
Mg 0.5000 0.5000 0.5000  4 I 2.68